Run P
{
  "formula": "TcGeCl3",
  "functional": "PBE",
  "state": "optimized geometry",
  "magnetic_moment_mub_per_fu": 5.23,
  "lattice_angstrom": [[5.176, 0.000, 0.000], [0.000, 5.176, 0.000], [0.000, 0.000, 5.176]],
  "species": ["Tc", "Ge", "Cl", "Cl", "Cl"],
  "frac_coords": [[0.000, 0.000, 0.000], [0.500, 0.500, 0.500], [0.000, 0.500, 0.500], [0.500, 0.000, 0.500], [0.500, 0.500, 0.000]]
}

Run Q
{
  "formula": "TcGeCl3",
  "functional": "PBE",
  "state": "optimized geometry",
  "magnetic_moment_mub_per_fu": 3.19,
  "lattice_angstrom": [[4.870, 0.000, 0.000], [0.000, 4.870, 0.000], [0.000, 0.000, 4.870]],
  "species": ["Tc", "Ge", "Cl", "Cl", "Cl"],
  "frac_coords": [[0.000, 0.000, 0.000], [0.500, 0.500, 0.500], [0.000, 0.000, 0.500], [0.000, 0.500, 0.000], [0.500, 0.000, 0.000]]
}

List of relative energies, unit kJ/mol of atoms: run P 17.8; run Q 0.0

Run P
{
  "formula": "Tc2GeCl",
  "functional": "PBE",
  "state": "optimized geometry",
  "magnetic_moment_mub_per_fu": 0.00,
  "lattice_angstrom": [[-2.821, 2.821, 4.939], [2.821, -2.821, 4.939], [2.821, 2.821, -4.939]],
  "species": ["Tc", "Tc", "Tc", "Tc", "Ge", "Ge", "Cl", "Cl"],
  "frac_coords": [[0.099, 0.625, 0.974], [0.375, 0.349, 0.474], [0.651, 0.125, 0.026], [0.875, 0.901, 0.526], [0.250, 0.750, 0.500], [0.500, 0.500, 0.000], [0.000, 0.000, 0.000], [0.750, 0.250, 0.500]]
}

Run Q
{
  "formula": "Tc2GeCl",
  "functional": "PBE",
  "state": "optimized geometry",
  "magnetic_moment_mub_per_fu": 0.00,
  "lattice_angstrom": [[0.000, 3.082, 3.082], [3.082, 0.000, 3.082], [3.082, 3.082, 0.000]],
  "species": ["Tc", "Tc", "Ge", "Cl"],
  "frac_coords": [[0.250, 0.250, 0.250], [0.750, 0.750, 0.750], [0.000, 0.000, 0.000], [0.500, 0.500, 0.500]]
}

List of relative energies, unit kJ/mol of atoms: run P 27.3; run Q 0.0

Run P
{
  "formula": "GeTe3Cl",
  "functional": "PBE",
  "state": "optimized geometry",
  "magnetic_moment_mub_per_fu": 0.00,
  "lattice_angstrom": [[5.387, 0.000, 0.000], [0.000, 5.387, 0.000], [0.000, 0.000, 5.387]],
  "species": ["Ge", "Te", "Te", "Te", "Cl"],
  "frac_coords": [[0.000, 0.000, 0.000], [0.000, 0.500, 0.500], [0.500, 0.000, 0.500], [0.500, 0.500, 0.000], [0.500, 0.500, 0.500]]
}

Run Q
{
  "formula": "GeTe3Cl",
  "functional": "PBE",
  "state": "optimized geometry",
  "magnetic_moment_mub_per_fu": 0.00,
  "lattice_angstrom": [[5.416, 0.000, 0.000], [0.000, 5.416, 0.000], [0.000, 0.000, 5.416]],
  "species": ["Ge", "Te", "Te", "Te", "Cl"],
  "frac_coords": [[0.000, 0.000, 0.000], [0.000, 0.000, 0.500], [0.000, 0.500, 0.000], [0.500, 0.000, 0.000], [0.500, 0.500, 0.500]]
}

List of relative energies, unit kJ/mol of atoms: run P 29.3; run Q 0.0